## HfPd2Pb2 (PBE-GGA)

Data for a relaxed structure of HfPd2Pb2.

As for the total magnetization: 0.0 μB per cell. The value obtained for the total energy is -5.701 eV/atom. The calculation puts the calculated volume at 21.900 A^3/atom.

The structure in POSCAR format:
```
HfPd2Pb2
1.0
7.068 0.000 0.000
0.000 7.068 0.000
0.000 0.000 4.384
Pd Pb Hf
4 4 2
Direct
0.635 0.135 0.000
0.135 0.365 0.000
0.365 0.865 0.000
0.865 0.635 0.000
0.176 0.676 0.500
0.676 0.824 0.500
0.324 0.176 0.500
0.824 0.324 0.500
0.500 0.500 0.000
0.000 0.000 0.000
```



## Hf3PdPb (PBE-GGA)

Data for a relaxed structure of Hf3PdPb.

The energy relative to the lowest polymorph listed for this composition comes out at 0.0 meV per atom. As for the total magnetization: 0.0 μB per cell. The value obtained for the total energy is -7.485 eV/atom. The calculation puts the calculated volume at 25.569 A^3/atom.

The structure in POSCAR format:
```
Hf3PdPb
1.0
-2.581 4.145 -1.240
-2.277 -0.073 4.493
3.679 2.862 1.911
Hf Pd Pb
3 1 1
Direct
0.000 0.000 0.500
0.000 0.500 0.000
0.500 0.000 0.000
0.000 0.000 0.000
0.500 0.500 0.500
```